This record from Alexandria describes an optimized crystal structure of AcPrAsPt. The functional is PBE.

Unit cell a=5.3163 b=5.3163 c=5.3163 alpha=60.00 beta=60.00 gamma=60.00
Fractional coordinates of all 4 atoms:
Ac: 0.0000 0.0000 0.0000
Pr: 0.5000 0.5000 0.5000
As: 0.2500 0.2500 0.2500
Pt: 0.7500 0.7500 0.7500

The electronic total energy is -5.870 eV/atom. Its total magnetization is 0.3 μB per cell. For the formation energy, the calculation gives -3.90 eV/f.u.